1.
DFT (PBE-GGA) results for a relaxed Ac2Al3Pt12Au crystal.

Unit cell a=8.0139 b=8.0139 c=8.0139 alpha=62.19 beta=62.19 gamma=62.19
Last column: nearest neighbours and their distance in Å.
Atoms (fractional coordinates):
1 Ac 0.6168 0.6168 0.6168  6 Pt 2.89-2.93
2 Ac 0.3832 0.3832 0.3832  6 Pt 2.89-2.93
3 Al 0.5000 0.0000 0.0000  6 Pt 2.42-2.45
4 Al 0.0000 0.5000 0.0000  6 Pt 2.42-2.45
5 Al 0.0000 0.0000 0.5000  6 Pt 2.42-2.45
6 Pt 0.3640 0.3640 0.8918  2 Al 2.45
7 Pt 0.8680 0.8680 0.3880  1 Al 2.42, 1 Au 2.61
8 Pt 0.3880 0.8680 0.8680  1 Al 2.42, 1 Au 2.61
9 Pt 0.8918 0.3640 0.3640  2 Al 2.45
10 Pt 0.8680 0.3880 0.8680  1 Al 2.42, 1 Au 2.61
11 Pt 0.3640 0.8918 0.3640  2 Al 2.45
12 Pt 0.6360 0.6360 0.1082  2 Al 2.45
13 Pt 0.1320 0.1320 0.6120  1 Al 2.42, 1 Au 2.61
14 Pt 0.6120 0.1320 0.1320  1 Al 2.42, 1 Au 2.61
15 Pt 0.1082 0.6360 0.6360  2 Al 2.45
16 Pt 0.1320 0.6120 0.1320  1 Al 2.42, 1 Au 2.61
17 Pt 0.6360 0.1082 0.6360  2 Al 2.45
18 Au 0.0000 0.0000 0.0000  6 Pt 2.61

Values from the calculation:
Formation energy from the elements   -426 meV per atom
Total magnetic moment   0.00 Bohr magnetons per cell
DOS at the Fermi energy   0.5154 states/eV/atom

2.
DFT (PBE-GGA) results for a relaxed VFe2 crystal.

Unit cell a=3.5968 b=4.3602 c=5.0062 alpha=105.06 beta=90.00 gamma=114.36
Last column: nearest neighbours and their distance in Å.
Atoms (fractional coordinates):
1 V 0.1485 0.2970 0.8157  10 Fe 2.46-2.68, 2 V 2.75
2 V 0.8515 0.7030 0.1843  10 Fe 2.46-2.68, 2 V 2.75
3 Fe 0.1753 0.3505 0.3340  5 V 2.47-2.54, 7 Fe 2.47-2.58
4 Fe 0.8247 0.6495 0.6660  5 V 2.47-2.54, 7 Fe 2.47-2.58
5 Fe 0.5000 0.0000 0.5000  4 V 2.46, 8 Fe 2.47-2.55
6 Fe 0.5000 0.0000 0.0000  6 V 2.47-2.68, 6 Fe 2.50-2.58

Values from the calculation:
Formation energy from the elements   -32 meV per atom
Total magnetic moment   2.51 Bohr magnetons per cell
DOS at the Fermi energy   0.9572 states/eV/atom

3.
DFT (PBE-GGA) results for a relaxed Li2Ca2Cd crystal.

Unit cell a=6.8872 b=6.3778 c=7.9194 alpha=105.06 beta=90.00 gamma=122.68
Last column: nearest neighbours and their distance in Å.
Atoms (fractional coordinates):
1 Li 0.7877 0.8118 0.5407  1 Li 2.82, 2 Cd 2.87-2.88
2 Li 0.9759 0.1882 0.9593  1 Li 2.82, 2 Cd 2.87-2.88
3 Li 0.2123 0.1882 0.4593  1 Li 2.82, 2 Cd 2.87-2.88
4 Li 0.0241 0.8118 0.0407  1 Li 2.82, 2 Cd 2.87-2.88
5 Ca 0.5738 0.3350 0.1498  5 Li 3.29-3.59, 3 Cd 3.36-3.52
6 Ca 0.2387 0.6650 0.3502  5 Li 3.29-3.59, 3 Cd 3.36-3.52
7 Ca 0.4262 0.6650 0.8502  5 Li 3.29-3.59, 3 Cd 3.36-3.52
8 Ca 0.7613 0.3350 0.6498  5 Li 3.29-3.59, 3 Cd 3.36-3.52
9 Cd 0.7772 0.0000 0.2500  4 Li 2.87-2.88
10 Cd 0.2228 0.0000 0.7500  4 Li 2.87-2.88

Values from the calculation:
Formation energy from the elements   -148 meV per atom
Total magnetic moment   0.00 Bohr magnetons per cell
DOS at the Fermi energy   0.7338 states/eV/atom
Offset from the most stable computed form   0.0 kJ per mole of atoms

4.
DFT (PBE-GGA) results for a relaxed CsLi2CI crystal.

Unit cell a=4.9821 b=5.5266 c=4.9821 alpha=90.00 beta=90.00 gamma=90.00
Last column: nearest neighbours and their distance in Å.
Atoms (fractional coordinates):
1 Cs 0.0000 0.5000 0.0000  2 C 2.76
2 I 0.5000 0.5000 0.5000  4 Cs 3.52, 8 Li 3.72
3 C 0.0000 0.0000 0.0000  4 Li 2.49, 2 Cs 2.76
4 Li 0.0000 0.0000 0.5000  2 C 2.49
5 Li 0.5000 0.0000 0.0000  2 C 2.49

Values from the calculation:
Total magnetic moment   0.95 Bohr magnetons per cell
DOS at the Fermi energy   0.7740 states/eV/atom
Energy relative to the elements, uncorrected   376 meV/atom